(1)
Compound: IrRu3Pt
Source: Alexandria
Functional: PBE-GGA
Structure: optimized geometry

CIF file:
```
data_IrRu3Pt
_chemical_formula_sum 'Ir6 Ru18 Pt6'
_cell_length_a 5.4171
_cell_length_b 5.4171
_cell_length_c 19.3387
_cell_angle_alpha 90.00
_cell_angle_beta 90.00
_cell_angle_gamma 120.00
_symmetry_space_group_name_H-M 'R -3 m'
_symmetry_Int_Tables_number 166
_symmetry_space_group_name_Hall '-R 3 2"'
loop_
_atom_site_label
_atom_site_type_symbol
_atom_site_fract_x
_atom_site_fract_y
_atom_site_fract_z
Ir1 Ir 0.0000 0.0000 0.1132
Ru1 Ru 0.0160 0.5080 0.1127
Pt1 Pt 0.0000 0.0000 0.3284
```

(2)
Compound: Ir6Ru3Pt
Source: Alexandria
Functional: PBE-GGA
Structure: optimized geometry

CIF file:
```
data_Ir6Ru3Pt
_chemical_formula_sum 'Ir12 Ru6 Pt2'
_cell_length_a 10.011
_cell_length_b 2.726
_cell_length_c 11.000
_cell_angle_alpha 90.00
_cell_angle_beta 101.45
_cell_angle_gamma 90.00
_symmetry_space_group_name_H-M 'P 1 21/m 1'
_symmetry_Int_Tables_number 11
_symmetry_space_group_name_Hall '-P 2yb'
loop_
_atom_site_label
_atom_site_type_symbol
_atom_site_fract_x
_atom_site_fract_y
_atom_site_fract_z
Ir1 Ir 0.005 0.250 0.307
Ir2 Ir 0.154 0.250 0.876
Ir3 Ir 0.229 0.750 0.300
Ir4 Ir 0.272 0.750 0.713
Ir5 Ir 0.306 0.750 0.069
Ir6 Ir 0.366 0.250 0.517
Ru1 Ru 0.077 0.250 0.093
Ru2 Ru 0.117 0.750 0.500
Ru3 Ru 0.424 0.250 0.907
Pt1 Pt 0.461 0.250 0.281
```

(3)
Compound: IrRu2Pt
Source: Alexandria
Functional: PBE-GGA
Structure: optimized geometry

CIF file:
```
data_IrRu2Pt
_chemical_formula_sum 'Ir1 Ru2 Pt1'
_cell_length_a 3.855
_cell_length_b 3.855
_cell_length_c 3.887
_cell_angle_alpha 90.00
_cell_angle_beta 90.00
_cell_angle_gamma 90.00
_symmetry_space_group_name_H-M 'P 4/m m m'
_symmetry_Int_Tables_number 123
_symmetry_space_group_name_Hall '-P 4 2'
loop_
_atom_site_label
_atom_site_type_symbol
_atom_site_fract_x
_atom_site_fract_y
_atom_site_fract_z
Ir1 Ir 0.000 0.000 0.000
Ru1 Ru 0.000 0.500 0.500
Pt1 Pt 0.500 0.500 0.000
```

(4)
Compound: IrRu2Pt
Source: Alexandria
Functional: PBE-GGA
Structure: optimized geometry

CIF file:
```
data_IrRu2Pt
_chemical_formula_sum 'Ir3 Ru6 Pt3'
_cell_length_a 2.7268
_cell_length_b 2.7268
_cell_length_c 27.0650
_cell_angle_alpha 90.00
_cell_angle_beta 90.00
_cell_angle_gamma 120.00
_symmetry_space_group_name_H-M 'R -3 m'
_symmetry_Int_Tables_number 166
_symmetry_space_group_name_Hall '-R 3 2"'
loop_
_atom_site_label
_atom_site_type_symbol
_atom_site_fract_x
_atom_site_fract_y
_atom_site_fract_z
Ir1 Ir 0.0000 0.0000 0.0000
Ru1 Ru 0.0000 0.0000 0.2525
Pt1 Pt 0.0000 0.0000 0.5000
```

(5)
Compound: Ir6RuPt
Source: Alexandria
Functional: PBE-GGA
Structure: optimized geometry

CIF file:
```
data_Ir6RuPt
_chemical_formula_sum 'Ir6 Ru1 Pt1'
_cell_length_a 3.871
_cell_length_b 3.871
_cell_length_c 7.772
_cell_angle_alpha 90.00
_cell_angle_beta 90.00
_cell_angle_gamma 90.00
_symmetry_space_group_name_H-M 'P 4/m m m'
_symmetry_Int_Tables_number 123
_symmetry_space_group_name_Hall '-P 4 2'
loop_
_atom_site_label
_atom_site_type_symbol
_atom_site_fract_x
_atom_site_fract_y
_atom_site_fract_z
Ir1 Ir 0.000 0.000 0.000
Ir2 Ir 0.000 0.000 0.500
Ir3 Ir 0.000 0.500 0.244
Ru1 Ru 0.500 0.500 0.000
Pt1 Pt 0.500 0.500 0.500
```

(6)
Compound: IrRu3Pt
Source: Alexandria
Functional: PBE-GGA
Structure: optimized geometry

CIF file:
```
data_IrRu3Pt
_chemical_formula_sum 'Ir4 Ru12 Pt4'
_cell_length_a 4.060
_cell_length_b 13.363
_cell_length_c 5.419
_cell_angle_alpha 90.00
_cell_angle_beta 90.00
_cell_angle_gamma 90.00
_symmetry_space_group_name_H-M 'C m c 21'
_symmetry_Int_Tables_number 36
_symmetry_space_group_name_Hall 'C 2c -2'
loop_
_atom_site_label
_atom_site_type_symbol
_atom_site_fract_x
_atom_site_fract_y
_atom_site_fract_z
Ir1 Ir 0.000 0.192 0.000
Ru1 Ru 0.000 0.005 0.501
Ru2 Ru 0.000 0.199 0.481
Ru3 Ru 0.000 0.384 0.232
Pt1 Pt 0.000 0.408 0.743
```

(7)
Compound: IrRu2Pt
Source: Alexandria
Functional: PBE-GGA
Structure: optimized geometry

CIF file:
```
data_IrRu2Pt
_chemical_formula_sum 'Ir2 Ru4 Pt2'
_cell_length_a 2.727
_cell_length_b 2.727
_cell_length_c 15.607
_cell_angle_alpha 90.00
_cell_angle_beta 90.00
_cell_angle_gamma 90.00
_symmetry_space_group_name_H-M 'P 4/n m m'
_symmetry_Int_Tables_number 129
loop_
_symmetry_equiv_pos_as_xyz
'x,y,z'
'-x,-y,-z'
'-y+1/2,x,z'
'y+1/2,-x,-z'
'-x+1/2,-y+1/2,z'
'x+1/2,y+1/2,-z'
'y,-x+1/2,z'
'-y,x+1/2,-z'
'x+1/2,-y,-z'
'-x+1/2,y,z'
'-y,-x,-z'
'y,x,z'
'-x,y+1/2,-z'
'x,-y+1/2,z'
'y+1/2,x+1/2,-z'
'-y+1/2,-x+1/2,z'
loop_
_atom_site_label
_atom_site_type_symbol
_atom_site_fract_x
_atom_site_fract_y
_atom_site_fract_z
Ir1 Ir 0.250 0.250 0.187
Ru1 Ru 0.250 0.250 0.696
Ru2 Ru 0.250 0.250 0.943
Pt1 Pt 0.250 0.250 0.432
```

(8)
Compound: IrRu2Pt
Source: Alexandria
Functional: PBE-GGA
Structure: optimized geometry

CIF file:
```
data_IrRu2Pt
_chemical_formula_sum 'Ir4 Ru8 Pt4'
_cell_length_a 6.222
_cell_length_b 6.222
_cell_length_c 6.222
_cell_angle_alpha 90.00
_cell_angle_beta 90.00
_cell_angle_gamma 90.00
_symmetry_space_group_name_H-M 'F -4 3 m'
_symmetry_Int_Tables_number 216
_symmetry_space_group_name_Hall 'F -4 2 3'
loop_
_atom_site_label
_atom_site_type_symbol
_atom_site_fract_x
_atom_site_fract_y
_atom_site_fract_z
Ir1 Ir 0.000 0.000 0.000
Ru1 Ru 0.000 0.000 0.500
Ru2 Ru 0.250 0.250 0.750
Pt1 Pt 0.250 0.250 0.250
```

ΔH_f (0 K) values (in eV/atom) by entry order: 0.37 0.12 0.04 0.05 -0.01 0.18 -0.01 0.46.
DFT total energy values (in eV for the cell shown) by entry order: -245.31 -171.70 -33.30 -99.76 -68.57 -167.28 -66.95 -126.38.